No. 1
Entry from Alexandria: La2UCr2N6 after structural relaxation (GGA-PBE).

Results
- Density of states at the Fermi level: 8.57 states/eV/cell
- Space-group type: No. 166
- Size of the total moment: 1.5 μB/f.u.
- Density: 7.17 g/cm3
- Energy: -0.335 hartree per atom
- Raw formation energy: -0.91 eV per atom

The structure in extended XYZ format:
```
11
Lattice="2.841 1.640 5.833 -2.841 1.640 5.833 0.000 -3.280 5.833" Properties=species:S:1:pos:R:3 pbc="T T T"
La 0.000 0.000 3.693
La 0.000 0.000 13.805
U 0.000 0.000 0.000
Cr 0.000 0.000 7.014
Cr 0.000 0.000 10.485
N -1.458 -0.842 10.085
N 0.000 -1.683 7.413
N -1.458 0.842 7.413
N 1.458 -0.842 10.085
N 0.000 1.683 10.085
N 1.458 0.842 7.413
```


No. 2
Entry from Alexandria: TlCdSCl2 after structural relaxation (GGA-PBE).

Results
- Density of states at the Fermi level: 2.65 states/eV/cell
- Space-group type: No. 123
- Size of the total moment: 0.0 μB/f.u.
- Density: 4.76 g/cm3
- Energy: -0.086 hartree per atom
- Raw formation energy: -0.11 eV per atom
- Relative energy among the computed polymorphs: 1.976 eV/f.u.

The structure in extended XYZ format:
```
5
Lattice="5.285 0.000 0.000 0.000 5.285 0.000 0.000 0.000 5.241" Properties=species:S:1:pos:R:3 pbc="T T T"
Tl 0.000 0.000 0.000
Cd 2.643 2.643 2.621
S 0.000 0.000 2.621
Cl 0.000 2.643 0.000
Cl 2.643 0.000 0.000
```